(1)
# TcMo2Pt

A relaxed structure of TcMo2Pt (PBE-GGA, Alexandria).

Output
* space-group type: Cmmm
* energy of formation from the pure elements: -0.103 eV per atom
* energy above the most stable polymorph in this dataset: 66.8 meV per atom
* crystal system: orthorhombic
* raw total energy: -9.620 eV per atom

a = 4.8671 Å, b = 4.8671 Å, c = 2.7572 Å
α = 90.00°, β = 90.00°, γ = 110.19°
With the nearest neighbours (Å) after each atom.
Atoms (fractional coordinates):
Tc: 0.0000 0.0000 0.0000  2 Tc 2.76, 2 Pt 2.79, 8 Mo 2.80
Mo: 0.0000 0.5000 0.5000  4 Mo 2.76-2.79, 4 Tc 2.80, 4 Pt 2.80
Mo: 0.5000 0.0000 0.5000  4 Mo 2.76-2.79, 4 Tc 2.80, 4 Pt 2.80
Pt: 0.5000 0.5000 0.0000  2 Pt 2.76, 2 Tc 2.79, 8 Mo 2.80

---

(2)
# TcMo2Pt

A relaxed structure of TcMo2Pt (PBE-GGA, Alexandria).

Output
* space-group type: Fm-3m
* energy of formation from the pure elements: 0.219 eV per atom
* energy above the most stable polymorph in this dataset: 388.2 meV per atom
* crystal system: cubic
* raw total energy: -9.298 eV per atom

a = 4.4601 Å, b = 4.4601 Å, c = 4.4601 Å
α = 60.00°, β = 60.00°, γ = 60.00°
With the nearest neighbours (Å) after each atom.
Atoms (fractional coordinates):
Tc: 0.0000 0.0000 0.0000  8 Mo 2.73
Mo: 0.2500 0.2500 0.2500  4 Tc 2.73, 4 Pt 2.73
Mo: 0.7500 0.7500 0.7500  4 Tc 2.73, 4 Pt 2.73
Pt: 0.5000 0.5000 0.5000  8 Mo 2.73

---

(3)
# TcMoPt3

A relaxed structure of TcMoPt3 (PBE-GGA, Alexandria).

Output
* space-group type: Pm-3m
* energy of formation from the pure elements: 1.485 eV per atom
* energy above the most stable polymorph in this dataset: 0.0 meV per atom
* crystal system: cubic
* raw total energy: -6.379 eV per atom

a = 4.8028 Å, b = 4.8028 Å, c = 4.8028 Å
α = 90.00°, β = 90.00°, γ = 90.00°
With the nearest neighbours (Å) after each atom.
Atoms (fractional coordinates):
Tc: 0.0000 0.0000 0.0000  12 Pt 3.40
Mo: 0.5000 0.5000 0.5000  6 Pt 2.40
Pt: 0.0000 0.5000 0.5000  2 Mo 2.40
Pt: 0.5000 0.0000 0.5000  2 Mo 2.40
Pt: 0.5000 0.5000 0.0000  2 Mo 2.40

---

(4)
# TcMoPt

A relaxed structure of TcMoPt (PBE-GGA, Alexandria).

Output
* space-group type: I4mm
* energy of formation from the pure elements: 0.055 eV per atom
* energy above the most stable polymorph in this dataset: 161.2 meV per atom
* crystal system: tetragonal
* raw total energy: -9.024 eV per atom

a = 4.9135 Å, b = 4.9135 Å, c = 4.9135 Å
α = 140.86°, β = 140.86°, γ = 56.55°
With the nearest neighbours (Å) after each atom.
Atoms (fractional coordinates):
Tc: 0.0000 0.0000 0.0000  4 Mo 2.65, 5 Pt 2.76-2.80
Mo: 0.3546 0.3546 0.0000  4 Tc 2.65, 5 Pt 2.77-2.82
Pt: 0.6807 0.6807 0.0000  5 Tc 2.76-2.80, 5 Mo 2.77-2.82

---

(5)
# TcMo2Pt

A relaxed structure of TcMo2Pt (PBE-GGA, Alexandria).

Output
* space-group type: R-3m
* energy of formation from the pure elements: 0.002 eV per atom
* energy above the most stable polymorph in this dataset: 171.8 meV per atom
* crystal system: trigonal
* raw total energy: -9.515 eV per atom

a = 9.3480 Å, b = 9.3480 Å, c = 9.3480 Å
α = 17.08°, β = 17.08°, γ = 17.08°
With the nearest neighbours (Å) after each atom.
Atoms (fractional coordinates):
Tc: 0.0000 0.0000 0.0000  6 Mo 2.76, 6 Tc 2.78
Mo: 0.2522 0.2522 0.2522  3 Tc 2.76, 6 Mo 2.78, 3 Pt 2.86
Mo: 0.7478 0.7478 0.7478  3 Tc 2.76, 6 Mo 2.78, 3 Pt 2.86
Pt: 0.5000 0.5000 0.5000  6 Pt 2.78, 6 Mo 2.86

---

(6)
# TcMo2Pt

A relaxed structure of TcMo2Pt (PBE-GGA, Alexandria).

Output
* space-group type: P4/mmm
* energy of formation from the pure elements: 0.043 eV per atom
* energy above the most stable polymorph in this dataset: 212.3 meV per atom
* crystal system: tetragonal
* raw total energy: -9.474 eV per atom

a = 3.3284 Å, b = 3.3284 Å, c = 5.6325 Å
α = 90.00°, β = 90.00°, γ = 90.00°
With the nearest neighbours (Å) after each atom.
Atoms (fractional coordinates):
Tc: 0.0000 0.0000 0.0000  8 Mo 2.73, 2 Pt 2.82
Mo: 0.5000 0.5000 0.2450  4 Tc 2.73, 4 Pt 2.76, 2 Mo 2.76-2.87
Mo: 0.5000 0.5000 0.7550  4 Tc 2.73, 4 Pt 2.76, 2 Mo 2.76-2.87
Pt: 0.0000 0.0000 0.5000  8 Mo 2.76, 2 Tc 2.82

---

(7)
# TcMo2Pt

A relaxed structure of TcMo2Pt (PBE-GGA, Alexandria).

Output
* space-group type: F-43m
* energy of formation from the pure elements: 0.175 eV per atom
* energy above the most stable polymorph in this dataset: 344.0 meV per atom
* crystal system: cubic
* raw total energy: -9.343 eV per atom

a = 4.4532 Å, b = 4.4532 Å, c = 4.4532 Å
α = 60.00°, β = 60.00°, γ = 60.00°
With the nearest neighbours (Å) after each atom.
Atoms (fractional coordinates):
Tc: 0.0000 0.0000 0.0000  4 Mo 2.73, 4 Pt 2.73
Mo: 0.5000 0.5000 0.5000  4 Pt 2.73, 4 Mo 2.73
Mo: 0.7500 0.7500 0.7500  4 Mo 2.73, 4 Tc 2.73
Pt: 0.2500 0.2500 0.2500  4 Mo 2.73, 4 Tc 2.73

---

(8)
# TcMo2Pt

A relaxed structure of TcMo2Pt (PBE-GGA, Alexandria).

Output
* space-group type: P4/mmm
* energy of formation from the pure elements: -0.085 eV per atom
* energy above the most stable polymorph in this dataset: 84.5 meV per atom
* crystal system: tetragonal
* raw total energy: -9.602 eV per atom

a = 2.7852 Å, b = 2.7852 Å, c = 7.9484 Å
α = 90.00°, β = 90.00°, γ = 90.00°
With the nearest neighbours (Å) after each atom.
Atoms (fractional coordinates):
Tc: 0.0000 0.0000 0.0000  8 Mo 2.75, 4 Tc 2.79
Mo: 0.5000 0.5000 0.2414  4 Tc 2.75, 4 Mo 2.79, 4 Pt 2.85
Mo: 0.5000 0.5000 0.7586  4 Tc 2.75, 4 Mo 2.79, 4 Pt 2.85
Pt: 0.0000 0.0000 0.5000  4 Pt 2.79, 8 Mo 2.85

---

(9)
# Tc4MoPt

A relaxed structure of Tc4MoPt (PBE-GGA, Alexandria).

Output
* space-group type: F-43m
* energy of formation from the pure elements: 0.176 eV per atom
* crystal system: cubic
* raw total energy: -9.547 eV per atom

a = 5.0840 Å, b = 5.0840 Å, c = 5.0840 Å
α = 60.00°, β = 60.00°, γ = 60.00°
With the nearest neighbours (Å) after each atom.
Atoms (fractional coordinates):
Tc: 0.1237 0.1237 0.1237  6 Tc 2.52-2.57
Tc: 0.1237 0.1237 0.6288  6 Tc 2.52-2.57
Tc: 0.1237 0.6288 0.1237  6 Tc 2.52-2.57
Tc: 0.6288 0.1237 0.1237  6 Tc 2.52-2.57
Mo: 0.5000 0.5000 0.5000  12 Tc 2.98, 4 Pt 3.11
Pt: 0.7500 0.7500 0.7500  12 Tc 2.98, 4 Mo 3.11

---

(10)
# TcMoPt

A relaxed structure of TcMoPt (PBE-GGA, Alexandria).

Output
* space-group type: F-43m
* energy of formation from the pure elements: 0.381 eV per atom
* energy above the most stable polymorph in this dataset: 486.8 meV per atom
* crystal system: cubic
* raw total energy: -8.699 eV per atom

a = 4.2370 Å, b = 4.2370 Å, c = 4.2370 Å
α = 60.00°, β = 60.00°, γ = 60.00°
With the nearest neighbours (Å) after each atom.
Atoms (fractional coordinates):
Tc: 0.0000 0.0000 0.0000  4 Mo 2.59
Mo: 0.7500 0.7500 0.7500  4 Pt 2.59, 4 Tc 2.59
Pt: 0.5000 0.5000 0.5000  4 Mo 2.59

---

(11)
# Tc3MoPt

A relaxed structure of Tc3MoPt (PBE-GGA, Alexandria).

Output
* space-group type: Pm-3m
* energy of formation from the pure elements: 1.734 eV per atom
* energy above the most stable polymorph in this dataset: 0.0 meV per atom
* crystal system: cubic
* raw total energy: -7.860 eV per atom

a = 4.5932 Å, b = 4.5932 Å, c = 4.5932 Å
α = 90.00°, β = 90.00°, γ = 90.00°
With the nearest neighbours (Å) after each atom.
Atoms (fractional coordinates):
Tc: 0.0000 0.0000 0.5000  2 Mo 2.30
Tc: 0.0000 0.5000 0.0000  2 Mo 2.30
Tc: 0.5000 0.0000 0.0000  2 Mo 2.30
Mo: 0.0000 0.0000 0.0000  6 Tc 2.30
Pt: 0.5000 0.5000 0.5000  12 Tc 3.25

---

(12)
# TcMo2Pt

A relaxed structure of TcMo2Pt (PBE-GGA, Alexandria).

Output
* space-group type: Cmm2
* energy of formation from the pure elements: 0.012 eV per atom
* energy above the most stable polymorph in this dataset: 181.0 meV per atom
* crystal system: orthorhombic
* raw total energy: -9.506 eV per atom

a = 2.6989 Å, b = 2.6989 Å, c = 8.7316 Å
α = 90.00°, β = 90.00°, γ = 102.90°
With the nearest neighbours (Å) after each atom.
Atoms (fractional coordinates):
Tc: 0.0000 0.0000 0.0000  4 Tc 2.70, 4 Mo 2.73-3.01, 2 Pt 2.75
Mo: 0.0000 0.0000 0.4975  6 Mo 2.70-2.80, 2 Pt 2.75
Mo: 0.5000 0.5000 0.7542  6 Mo 2.70-2.80, 4 Tc 2.73-3.01
Pt: 0.5000 0.5000 0.2489  4 Pt 2.70, 2 Mo 2.75, 2 Tc 2.75